This record from the Alexandria database describes a PBEsol-optimized structure of PrErCo17. The functional is meta-GGA SCAN.

Properties
The calculation puts the density at 9.4 Mg/m³. The spin magnetization comes out at 27.771 μB per cell. As for the calculated formation energy: -0.019 eV per atom.

Lattice parameters (Å, degrees): 6.1806 6.1806 6.1806 83.06 83.06 83.06
With the nearest neighbours (Å) after each atom.
Sites, in units of the cell vectors:
Pr 0.0000 0.0000 0.0000  19 Co 2.93-3.21
Er 0.6889 0.6889 0.6889  19 Co 2.93-3.15
Co 0.9998 0.9998 0.4946  9 Co 2.37-2.55
Co 0.9998 0.4946 0.9998  9 Co 2.37-2.55
Co 0.0585 0.3475 0.6329  8 Co 2.32-2.53
Co 0.0585 0.6329 0.3475  8 Co 2.32-2.53
Co 0.1974 0.6897 0.6897  9 Co 2.35-2.53
Co 0.2504 0.2504 0.2504  7 Co 2.30-2.55
Co 0.3475 0.0585 0.6329  8 Co 2.32-2.53
Co 0.3475 0.6329 0.0585  8 Co 2.32-2.53
Co 0.3481 0.3481 0.8452  10 Co 2.32-2.52
Co 0.3481 0.8452 0.3481  10 Co 2.32-2.52
Co 0.4432 0.4432 0.4432  7 Co 2.30-2.53
Co 0.4946 0.9998 0.9998  9 Co 2.37-2.55
Co 0.6329 0.0585 0.3475  8 Co 2.32-2.53
Co 0.6329 0.3475 0.0585  8 Co 2.32-2.53
Co 0.6897 0.1974 0.6897  9 Co 2.35-2.53
Co 0.6897 0.6897 0.1974  9 Co 2.35-2.53
Co 0.8452 0.3481 0.3481  10 Co 2.32-2.52


This record from the Alexandria database describes a PBEsol-optimized structure of ErCoRu. The functional is meta-GGA SCAN.

Properties
The calculation puts the density at 11.7 Mg/m³. The spin magnetization comes out at 2.688 μB per cell. As for the calculated formation energy: -0.341 eV per atom.

Lattice parameters (Å, degrees): 5.0898 5.0898 5.0898 120.35 120.31 89.43
With the nearest neighbours (Å) after each atom.
Sites, in units of the cell vectors:
Er 0.3754 0.1254 0.2500  6 Co 2.97-3.00, 6 Ru 2.97-2.99, 4 Er 3.11-3.12
Er 0.6246 0.8746 0.7500  6 Co 2.97-3.00, 6 Ru 2.97-2.99, 4 Er 3.11-3.12
Co 0.0000 0.0000 0.5000  2 Co 2.53, 4 Ru 2.54
Co 0.0000 0.5000 0.0000  2 Co 2.53, 4 Ru 2.54
Ru 0.0000 0.5000 0.5000  2 Ru 2.53, 4 Co 2.54
Ru 0.5000 0.5000 0.0000  2 Ru 2.53, 4 Co 2.54


This record from the Alexandria database describes a PBEsol-optimized structure of Er5CoSb2. The functional is meta-GGA SCAN.

Properties
The calculation puts the density at 9.7 Mg/m³. The spin magnetization comes out at 0.000 μB per cell. For the uncorrected formation energy, the calculation gives -0.740 eV/atom.

Lattice parameters (Å, degrees): 11.8939 8.5864 7.6623 90.00 90.00 90.00
With the nearest neighbours (Å) after each atom.
Sites, in units of the cell vectors:
Er 0.0022 0.2500 0.0481  1 Co 2.93, 4 Sb 3.05
Er 0.0647 0.5371 0.3220  2 Co 2.68-2.78
Er 0.0647 0.9629 0.3220  2 Co 2.68-2.78
Er 0.1927 0.2500 0.6217  1 Co 2.62
Er 0.2033 0.7500 0.6545  1 Co 2.62
Er 0.2967 0.2500 0.1545  1 Co 2.62
Er 0.3073 0.7500 0.1217  1 Co 2.62
Er 0.4353 0.0371 0.8220  2 Co 2.68-2.78
Er 0.4353 0.4629 0.8220  2 Co 2.68-2.78
Er 0.4978 0.7500 0.5481  1 Co 2.93, 4 Sb 3.05
Er 0.5022 0.2500 0.4519  1 Co 2.93, 4 Sb 3.05
Er 0.5647 0.5371 0.1780  2 Co 2.68-2.78
Er 0.5647 0.9629 0.1780  2 Co 2.68-2.78
Er 0.6927 0.2500 0.8783  1 Co 2.62
Er 0.7033 0.7500 0.8455  1 Co 2.62
Er 0.7967 0.2500 0.3455  1 Co 2.62
Er 0.8073 0.7500 0.3783  1 Co 2.62
Er 0.9353 0.0371 0.6780  2 Co 2.68-2.78
Er 0.9353 0.4629 0.6780  2 Co 2.68-2.78
Er 0.9978 0.7500 0.9519  1 Co 2.93, 4 Sb 3.05
Co 0.0103 0.2500 0.4303  7 Er 2.62-2.93
Co 0.4897 0.7500 0.9303  7 Er 2.62-2.93
Co 0.5103 0.2500 0.0697  7 Er 2.62-2.93
Co 0.9897 0.7500 0.5697  7 Er 2.62-2.93
Sb 0.1730 0.0082 0.9290  8 Er 3.05-3.30
Sb 0.1730 0.4918 0.9290  8 Er 3.05-3.30
Sb 0.3270 0.5082 0.4290  8 Er 3.05-3.30
Sb 0.3270 0.9918 0.4290  8 Er 3.05-3.30
Sb 0.6730 0.0082 0.5710  8 Er 3.05-3.30
Sb 0.6730 0.4918 0.5710  8 Er 3.05-3.30
Sb 0.8270 0.5082 0.0710  8 Er 3.05-3.30
Sb 0.8270 0.9918 0.0710  8 Er 3.05-3.30


This record from the Alexandria database describes a PBEsol-optimized structure of ErCo9Si4. The functional is meta-GGA SCAN.

Properties
The calculation puts the density at 8.3 Mg/m³. The spin magnetization comes out at 14.789 μB per cell. For the uncorrected formation energy, the calculation gives -0.416 eV/atom.

Lattice parameters (Å, degrees): 7.7681 7.7681 7.7681 121.48 121.48 87.45
With the nearest neighbours (Å) after each atom.
Sites, in units of the cell vectors:
Er 0.2500 0.2500 0.0000  16 Co 3.08-3.23, 8 Si 3.17
Er 0.7500 0.7500 0.0000  16 Co 3.08-3.23, 8 Si 3.17
Co 0.0000 0.5000 0.5000  4 Si 2.28, 8 Co 2.35-2.46
Co 0.0501 0.5501 0.2397  4 Si 2.25-2.39, 3 Co 2.45-2.46
Co 0.0711 0.8008 0.8719  6 Co 2.27-2.47, 4 Si 2.41-2.49
Co 0.1895 0.9499 0.5000  4 Si 2.25-2.39, 3 Co 2.45-2.46
Co 0.1992 0.0711 0.2702  6 Co 2.27-2.47, 4 Si 2.41-2.49
Co 0.3008 0.5711 0.8719  6 Co 2.27-2.47, 4 Si 2.41-2.49
Co 0.3105 0.8105 0.7603  4 Si 2.25-2.39, 3 Co 2.45-2.46
Co 0.4289 0.3008 0.7298  6 Co 2.27-2.47, 4 Si 2.41-2.49
Co 0.4499 0.6895 0.5000  4 Si 2.25-2.39, 3 Co 2.45-2.46
Co 0.5000 0.0000 0.5000  4 Si 2.28, 8 Co 2.35-2.46
Co 0.5501 0.3105 0.5000  4 Si 2.25-2.39, 3 Co 2.45-2.46
Co 0.5711 0.6992 0.2702  6 Co 2.27-2.47, 4 Si 2.41-2.49
Co 0.6895 0.1895 0.2397  4 Si 2.25-2.39, 3 Co 2.45-2.46
Co 0.6992 0.4289 0.1281  6 Co 2.27-2.47, 4 Si 2.41-2.49
Co 0.8008 0.9289 0.7298  6 Co 2.27-2.47, 4 Si 2.41-2.49
Co 0.8105 0.0501 0.5000  4 Si 2.25-2.39, 3 Co 2.45-2.46
Co 0.9289 0.1992 0.1281  6 Co 2.27-2.47, 4 Si 2.41-2.49
Co 0.9499 0.4499 0.7603  4 Si 2.25-2.39, 3 Co 2.45-2.46
Si 0.0478 0.2089 0.5000  9 Co 2.25-2.49
Si 0.2089 0.7089 0.1611  9 Co 2.25-2.49
Si 0.2911 0.4522 0.5000  9 Co 2.25-2.49
Si 0.4522 0.9522 0.1611  9 Co 2.25-2.49
Si 0.5478 0.0478 0.8389  9 Co 2.25-2.49
Si 0.7089 0.5478 0.5000  9 Co 2.25-2.49
Si 0.7911 0.2911 0.8389  9 Co 2.25-2.49
Si 0.9522 0.7911 0.5000  9 Co 2.25-2.49


This record from the Alexandria database describes a PBEsol-optimized structure of Er5Co4Si14. The functional is meta-GGA SCAN.

Properties
The calculation puts the density at 6.8 Mg/m³. The spin magnetization comes out at 0.007 μB per cell. For the uncorrected formation energy, the calculation gives -0.623 eV/atom.

Lattice parameters (Å, degrees): 12.1839 7.7103 7.6556 90.00 98.87 90.00
With the nearest neighbours (Å) after each atom.
Sites, in units of the cell vectors:
Er 0.0000 0.0000 0.0000  12 Si 2.86-3.00, 6 Co 3.00-3.04
Er 0.0000 0.5000 0.5000  12 Si 2.86-3.00, 6 Co 3.00-3.04
Er 0.3645 0.2481 0.3422  10 Si 2.85-3.06, 2 Co 3.04-3.06
Er 0.3645 0.2519 0.8422  10 Si 2.85-3.06, 2 Co 3.04-3.06
Er 0.3647 0.7488 0.3396  10 Si 2.84-3.05, 2 Co 3.04-3.06
Er 0.3647 0.7512 0.8396  10 Si 2.84-3.05, 2 Co 3.04-3.06
Er 0.6353 0.2488 0.1604  10 Si 2.84-3.05, 2 Co 3.04-3.06
Er 0.6353 0.2512 0.6604  10 Si 2.84-3.05, 2 Co 3.04-3.06
Er 0.6355 0.7481 0.1578  10 Si 2.85-3.06, 2 Co 3.04-3.06
Er 0.6355 0.7519 0.6578  10 Si 2.85-3.06, 2 Co 3.04-3.06
Co 0.9997 0.1259 0.6266  7 Si 2.25-2.46
Co 0.9997 0.3741 0.1266  7 Si 2.25-2.46
Co 0.0003 0.6259 0.8734  7 Si 2.25-2.46
Co 0.0003 0.8741 0.3734  7 Si 2.25-2.46
Co 0.2495 0.9997 0.0609  5 Si 2.26-2.29
Co 0.2495 0.5003 0.5609  5 Si 2.26-2.29
Co 0.7505 0.0003 0.9391  5 Si 2.26-2.29
Co 0.7505 0.4997 0.4391  5 Si 2.26-2.29
Si 0.0001 0.1670 0.3333  3 Co 2.25-2.28
Si 0.0001 0.3330 0.8333  3 Co 2.25-2.28
Si 0.9999 0.6670 0.1667  3 Co 2.25-2.28
Si 0.9999 0.8330 0.6667  3 Co 2.25-2.28
Si 0.1777 0.0060 0.7699  2 Co 2.26-2.46, 2 Si 2.40-2.53
Si 0.1775 0.2273 0.5502  2 Co 2.28-2.46, 2 Si 2.40-2.54
Si 0.1775 0.2727 0.0502  2 Co 2.28-2.46, 2 Si 2.40-2.54
Si 0.1777 0.4940 0.2699  2 Co 2.26-2.46, 2 Si 2.40-2.53
Si 0.1780 0.5061 0.8171  2 Co 2.27-2.45, 2 Si 2.40-2.54
Si 0.1776 0.7271 0.0378  2 Co 2.27-2.45, 2 Si 2.40-2.53
Si 0.1776 0.7729 0.5378  2 Co 2.27-2.45, 2 Si 2.40-2.53
Si 0.1780 0.9939 0.3171  2 Co 2.27-2.45, 2 Si 2.40-2.54
Si 0.4397 0.0004 0.1096  1 Co 2.29, 2 Si 2.39-2.40
Si 0.4395 0.0003 0.6112  2 Si 2.40-2.42
Si 0.4395 0.4997 0.1112  2 Si 2.40-2.42
Si 0.4397 0.4996 0.6096  1 Co 2.29, 2 Si 2.39-2.40
Si 0.5605 0.9997 0.3888  2 Si 2.40-2.42
Si 0.5603 0.9996 0.8904  1 Co 2.29, 2 Si 2.39-2.40
Si 0.5603 0.5004 0.3904  1 Co 2.29, 2 Si 2.39-2.40
Si 0.5605 0.5003 0.8888  2 Si 2.40-2.42
Si 0.8220 0.0061 0.6829  2 Co 2.27-2.45, 2 Si 2.40-2.54
Si 0.8224 0.2271 0.4622  2 Co 2.27-2.45, 2 Si 2.40-2.53
Si 0.8224 0.2729 0.9622  2 Co 2.27-2.45, 2 Si 2.40-2.53
Si 0.8220 0.4939 0.1829  2 Co 2.27-2.45, 2 Si 2.40-2.54
Si 0.8223 0.5060 0.7301  2 Co 2.26-2.46, 2 Si 2.40-2.53
Si 0.8225 0.7273 0.9498  2 Co 2.28-2.46, 2 Si 2.40-2.54
Si 0.8225 0.7727 0.4498  2 Co 2.28-2.46, 2 Si 2.40-2.54
Si 0.8223 0.9940 0.2301  2 Co 2.26-2.46, 2 Si 2.40-2.53


This record from the Alexandria database describes a PBEsol-optimized structure of Er3CoSi3. The functional is meta-GGA SCAN.

Properties
The calculation puts the density at 8.3 Mg/m³. The spin magnetization comes out at 0.001 μB per cell. For the uncorrected formation energy, the calculation gives -0.792 eV/atom.

Lattice parameters (Å, degrees): 5.5164 5.5164 13.1914 109.56 109.56 43.53
With the nearest neighbours (Å) after each atom.
Sites, in units of the cell vectors:
Er 0.0238 0.0238 0.3792  6 Si 2.81-3.04, 4 Co 2.85-3.05
Er 0.0997 0.0997 0.9188  7 Si 2.87-3.03
Er 0.2482 0.2482 0.2287  6 Si 2.80-3.07
Er 0.7518 0.7518 0.7713  6 Si 2.80-3.07
Er 0.9003 0.9003 0.0812  7 Si 2.87-3.03
Er 0.9762 0.9762 0.6208  6 Si 2.81-3.04, 4 Co 2.85-3.05
Co 0.2522 0.2522 0.5817  4 Si 2.30-2.45
Co 0.7478 0.7478 0.4183  4 Si 2.30-2.45
Si 0.3610 0.3610 0.4562  3 Co 2.30-2.32
Si 0.3841 0.3841 0.9242  2 Si 2.49-2.50
Si 0.4458 0.4458 0.7571  1 Co 2.45, 1 Si 2.50
Si 0.5542 0.5542 0.2429  1 Co 2.45, 1 Si 2.50
Si 0.6159 0.6159 0.0758  2 Si 2.49-2.50
Si 0.6390 0.6390 0.5438  3 Co 2.30-2.32


This record from the Alexandria database describes a PBEsol-optimized structure of ErCo9Si2. The functional is meta-GGA SCAN.

Properties
The calculation puts the density at 9.0 Mg/m³. The spin magnetization comes out at 22.084 μB per cell. For the uncorrected formation energy, the calculation gives -0.237 eV/atom.

Lattice parameters (Å, degrees): 7.3848 7.3848 7.3848 100.04 100.04 130.64
With the nearest neighbours (Å) after each atom.
Sites, in units of the cell vectors:
Er 0.3750 0.6250 0.7500  18 Co 2.96-3.08, 4 Si 3.31
Er 0.6250 0.3750 0.2500  18 Co 2.96-3.08, 4 Si 3.31
Co 0.1250 0.8750 0.2500  4 Si 2.49, 8 Co 2.57
Co 0.1378 0.5585 0.3324  2 Si 2.32-2.33, 7 Co 2.34-2.57
Co 0.1378 0.8054 0.5792  2 Si 2.32-2.33, 7 Co 2.34-2.57
Co 0.1946 0.2738 0.3324  2 Si 2.32-2.33, 7 Co 2.34-2.57
Co 0.1946 0.8622 0.9208  2 Si 2.32-2.33, 7 Co 2.34-2.57
Co 0.2738 0.1946 0.8324  2 Si 2.32-2.33, 7 Co 2.34-2.57
Co 0.2738 0.4415 0.0792  2 Si 2.32-2.33, 7 Co 2.34-2.57
Co 0.4415 0.2738 0.5792  2 Si 2.32-2.33, 7 Co 2.34-2.57
Co 0.4415 0.8622 0.1676  2 Si 2.32-2.33, 7 Co 2.34-2.57
Co 0.5585 0.1378 0.8324  2 Si 2.32-2.33, 7 Co 2.34-2.57
Co 0.5585 0.7262 0.4208  2 Si 2.32-2.33, 7 Co 2.34-2.57
Co 0.7262 0.5585 0.9208  2 Si 2.32-2.33, 7 Co 2.34-2.57
Co 0.7262 0.8054 0.1676  2 Si 2.32-2.33, 7 Co 2.34-2.57
Co 0.8054 0.1378 0.0792  2 Si 2.32-2.33, 7 Co 2.34-2.57
Co 0.8054 0.7262 0.6676  2 Si 2.32-2.33, 7 Co 2.34-2.57
Co 0.8622 0.1946 0.4208  2 Si 2.32-2.33, 7 Co 2.34-2.57
Co 0.8622 0.4415 0.6676  2 Si 2.32-2.33, 7 Co 2.34-2.57
Co 0.8750 0.1250 0.7500  4 Si 2.49, 8 Co 2.57
Si 0.0000 0.0000 0.0000  10 Co 2.32-2.49
Si 0.0000 0.0000 0.5000  10 Co 2.32-2.49
Si 0.0000 0.5000 0.0000  10 Co 2.32-2.49
Si 0.5000 0.0000 0.5000  10 Co 2.32-2.49


This record from the Alexandria database describes a PBEsol-optimized structure of ErCo2Si2. The functional is meta-GGA SCAN.

Properties
The calculation puts the density at 8.1 Mg/m³. The spin magnetization comes out at 0.000 μB per cell. For the uncorrected formation energy, the calculation gives -0.790 eV/atom.

Lattice parameters (Å, degrees): 5.5092 5.5092 5.5092 139.50 139.50 58.61
With the nearest neighbours (Å) after each atom.
Sites, in units of the cell vectors:
Er 0.0000 0.0000 0.0000  8 Si 2.96, 8 Co 3.07
Co 0.2500 0.7500 0.5000  4 Si 2.24
Co 0.7500 0.2500 0.5000  4 Si 2.24
Si 0.3726 0.3726 0.0000  4 Co 2.24, 1 Si 2.45
Si 0.6274 0.6274 0.0000  4 Co 2.24, 1 Si 2.45